Arrangement one

Density functional theory data (PBE) for a geometry-optimized Li2YHg structure.

It has space group Imm2 (No. 44), with a = 4.3520 Å, b = 4.9638 Å, c = 7.9919 Å, α = 90.00°, β = 90.00° and γ = 90.00°. The inequivalent atoms are Li at (0.0000, 0.0000, 0.0000), Li at (0.0000, 0.5000, 0.2756), Y at (0.0000, 0.0000, 0.5061) and Hg at (0.0000, 0.5000, 0.7375).

The calculated density comes out at 5.836 g/cm³.

***

Arrangement two

Density functional theory data (PBE) for a geometry-optimized Li2YHg structure.

It has space group Pm (No. 6), with a = 3.5361 Å, b = 4.4761 Å, c = 6.2333 Å, α = 90.00°, β = 105.86° and γ = 90.00°. The inequivalent atoms are Li at (0.0000, 0.0000, 0.0000), Li at (0.4160, 0.5000, 0.8424), Y at (0.6945, 0.5000, 0.3767) and Hg at (0.2909, 0.0000, 0.5769).

The calculated density comes out at 5.308 g/cm³.

***

Arrangement three

Density functional theory data (PBE) for a geometry-optimized Li2YHg structure.

It has space group F-43m (No. 216), with a = 7.0344 Å, b = 7.0344 Å, c = 7.0344 Å, α = 90.00°, β = 90.00° and γ = 90.00°. The inequivalent atoms are Li at (0.0000, 0.0000, 0.0000), Li at (0.2500, 0.2500, 0.2500), Y at (0.2500, 0.2500, 0.7500) and Hg at (0.0000, 0.0000, 0.5000).

The calculated density comes out at 5.789 g/cm³.

***

Which structure loses on stability? arrangement two does.

***

Arrangement one

Density functional theory data (PBE) for a geometry-optimized Li2YHg structure.

It has space group P4/mmm (No. 123), with a = 3.5835 Å, b = 3.5835 Å, c = 6.7767 Å, α = 90.00°, β = 90.00° and γ = 90.00°. The inequivalent atoms are Li at (0.0000, 0.0000, 0.1978), Y at (0.5000, 0.5000, 0.5000) and Hg at (0.5000, 0.5000, 0.0000).

The calculated density comes out at 5.789 g/cm³.

***

Arrangement two

Density functional theory data (PBE) for a geometry-optimized Li2YHg structure.

It has space group P4mm (No. 99), with a = 3.5558 Å, b = 3.5558 Å, c = 7.1510 Å, α = 90.00°, β = 90.00° and γ = 90.00°. The inequivalent atoms are Li at (0.0000, 0.0000, 0.0000), Li at (0.5000, 0.5000, 0.2034), Y at (0.0000, 0.0000, 0.5236) and Hg at (0.5000, 0.5000, 0.7909).

The calculated density comes out at 5.572 g/cm³.

***

Which structure loses on stability? arrangement one does.

***

Arrangement one

Density functional theory data (PBE) for a geometry-optimized Li2YHg structure.

It has space group Pmmm (No. 47), with a = 3.7034 Å, b = 4.9097 Å, c = 5.1542 Å, α = 90.00°, β = 90.00° and γ = 90.00°. The inequivalent atoms are Li at (0.0000, 0.0000, 0.0000), Li at (0.5000, 0.5000, 0.0000), Y at (0.0000, 0.5000, 0.5000) and Hg at (0.5000, 0.0000, 0.5000).

The calculated density comes out at 5.375 g/cm³.

***

Arrangement two

Density functional theory data (PBE) for a geometry-optimized Li2YHg structure.

It has space group Pmmn (No. 59, origin choice 2), with a = 4.7251 Å, b = 5.7452 Å, c = 6.6008 Å, α = 90.00°, β = 90.00° and γ = 90.00°. The inequivalent atoms are Li at (0.2500, 0.0076, 0.1078), Y at (0.2500, 0.2500, 0.5703) and Hg at (0.2500, 0.7500, 0.7433).

The calculated density comes out at 5.623 g/cm³.

***

Arrangement three

Density functional theory data (PBE) for a geometry-optimized Li2YHg structure.

It has space group I-42d (No. 122), with a = 7.9737 Å, b = 7.9737 Å, c = 6.0173 Å, α = 90.00°, β = 90.00° and γ = 90.00°. The inequivalent atoms are Li at (0.1995, 0.7500, 0.1250), Y at (0.0000, 0.0000, 0.5000) and Hg at (0.0000, 0.0000, 0.0000).

The calculated density comes out at 5.267 g/cm³.

***

Which structure loses on stability? arrangement three does.

***

Arrangement one

Density functional theory data (PBE) for a geometry-optimized Li2YHg structure.

It has space group P2/m (No. 10), with a = 3.4913 Å, b = 5.1304 Å, c = 5.2354 Å, α = 90.00°, β = 93.70° and γ = 90.00°. The inequivalent atoms are Li at (0.1509, 0.0000, 0.2732), Y at (0.5000, 0.5000, 0.0000) and Hg at (0.0000, 0.5000, 0.5000).

The calculated density comes out at 5.383 g/cm³.

***

Arrangement two

Density functional theory data (PBE) for a geometry-optimized Li2YHg structure.

It has space group Fm-3m (No. 225), with a = 6.7979 Å, b = 6.7979 Å, c = 6.7979 Å, α = 90.00°, β = 90.00° and γ = 90.00°. The inequivalent atoms are Li at (0.2500, 0.2500, 0.2500), Y at (0.0000, 0.0000, 0.0000) and Hg at (0.0000, 0.0000, 0.5000).

The calculated density comes out at 6.415 g/cm³.

***

Which structure loses on stability? arrangement one does.